1.
Entry from Alexandria: a geometry-optimized BaZrTa2 structure (PBE).

a = 6.0912 Å, b = 10.4376 Å, c = 2.9494 Å
α = 90.00°, β = 90.00°, γ = 90.00°
Last column: nearest neighbours and their distance in Å.
Space group Cmmm (No. 65)
One atom of each set of equivalent atoms:
Ba (0.0000, 0.0000, 0.0000) x2  2 Ba 2.95, 2 Zr 3.05
Zr (0.0000, 0.5000, 0.0000) x2  2 Zr 2.95, 2 Ba 3.05
Ta (0.2500, 0.2500, 0.5000) x4  4 Ta 2.95-3.05

Results
Its energy above the most stable polymorph in this dataset is 514 meV per atom.

***

2.
Entry from Alexandria: a geometry-optimized BaZrTa2 structure (PBE).

a = 3.4433 Å, b = 5.0404 Å, c = 5.2198 Å
α = 90.00°, β = 90.00°, γ = 90.00°
Last column: nearest neighbours and their distance in Å.
Space group Pmmm (No. 47)
One atom of each set of equivalent atoms:
Ba (0.0000, 0.0000, 0.0000) x1  4 Zr 3.05, 4 Ta 3.13
Zr (0.5000, 0.5000, 0.0000) x1  4 Ba 3.05, 4 Ta 3.13
Ta (0.0000, 0.5000, 0.5000) x1  4 Ta 3.05, 4 Zr 3.13
Ta (0.5000, 0.0000, 0.5000) x1  4 Ta 3.05, 4 Ba 3.13

Results
Its energy above the most stable polymorph in this dataset is 571 meV per atom.

***

| no. | formation energy (kJ per mole of atoms) |
| --- | --- |
| 1 | 94.8 |
| 2 | 100.3 |